(1)
A plane-wave DFT calculation with GGA-PBE was carried out for crystalline AcIrO4 at its relaxed geometry.

## Properties
The crystal system is monoclinic. Its energy above the most stable polymorph in this dataset is 8.50 kJ per mole of atoms.

Unit cell a=5.5638 b=5.6609 c=5.2570 alpha=90.00 beta=94.46 gamma=90.00
With the nearest neighbours (Å) after each atom.
Space group P2_1/c (No. 14)
One atom of each set of equivalent atoms:
Ac: 0.0000 0.0000 0.0000 (multiplicity 2)  4 O 2.38-2.56
Ir: 0.5000 0.0000 0.5000 (multiplicity 2)  6 O 1.90-2.09
O: 0.1836 0.1269 0.4404 (multiplicity 4)  1 Ir 1.90
O: 0.3659 0.7207 0.2716 (multiplicity 4)  2 Ir 2.08-2.09

***

(2)
A plane-wave DFT calculation with GGA-PBE was carried out for crystalline Ac2Ir3O10 at its relaxed geometry.

## Properties
The crystal system is monoclinic.

Unit cell a=18.2593 b=5.9966 c=7.6332 alpha=90.00 beta=112.93 gamma=90.00
With the nearest neighbours (Å) after each atom.
Space group C2/m (No. 12)
One atom of each set of equivalent atoms:
Ac: 0.1152 0.0000 0.2160 (multiplicity 4)  8 O 2.63-2.91
Ac: 0.2119 0.0000 0.8180 (multiplicity 4)  6 O 2.49-2.70
Ir: 0.0000 0.2533 0.5000 (multiplicity 4)  6 O 1.98-2.03
Ir: 0.0780 0.5000 0.9734 (multiplicity 4)  6 O 1.91-2.08
Ir: 0.1771 0.5000 0.5173 (multiplicity 4)  6 O 1.86-2.04
O: 0.0000 0.2621 0.0000 (multiplicity 4)  2 Ir 2.08
O: 0.0219 0.0000 0.6798 (multiplicity 4)  2 Ir 1.98
O: 0.0284 0.5000 0.6977 (multiplicity 4)  3 Ir 1.94-2.03
O: 0.1121 0.2382 0.5228 (multiplicity 8)  2 Ir 1.98-1.99
O: 0.1251 0.5000 0.2444 (multiplicity 4)  2 Ir 1.91-1.92
O: 0.1556 0.2612 0.9875 (multiplicity 8)  1 Ir 1.99
O: 0.2318 0.5000 0.7797 (multiplicity 4)  1 Ir 1.86
O: 0.2500 0.2500 0.5000 (multiplicity 4)  2 Ir 2.04

***

(3)
A plane-wave DFT calculation with GGA-PBE was carried out for crystalline AcIrO5 at its relaxed geometry.

## Properties
The crystal system is monoclinic.

Unit cell a=9.5057 b=6.8402 c=7.7954 alpha=90.00 beta=113.57 gamma=90.00
With the nearest neighbours (Å) after each atom.
Space group C2/c (No. 15)
One atom of each set of equivalent atoms:
Ac: 0.0000 0.0477 0.2500 (multiplicity 4)  7 O 2.46-2.56
Ir: 0.0000 0.5000 0.0000 (multiplicity 4)  6 O 1.83-2.02
O: 0.0000 0.4221 0.2500 (multiplicity 4)  2 Ir 2.02
O: 0.0103 0.2197 0.9667 (multiplicity 8)  1 Ir 1.94
O: 0.2094 0.4863 0.6046 (multiplicity 8)  1 Ir 1.83

***

(4)
A plane-wave DFT calculation with GGA-PBE was carried out for crystalline Ac2IrO at its relaxed geometry.

## Properties
The crystal system is trigonal. Its energy above the most stable polymorph in this dataset is 8.69 kJ per mole of atoms.

Unit cell a=4.0937 b=4.0937 c=20.5014 alpha=90.00 beta=90.00 gamma=120.00
With the nearest neighbours (Å) after each atom.
Space group R-3m (No. 166, hexagonal axes)
One atom of each set of equivalent atoms:
Ac: 0.0000 0.0000 0.2444 (multiplicity 6)  3 O 2.85, 3 Ir 2.99
Ir: 0.0000 0.0000 0.0000 (multiplicity 3)  6 Ac 2.99
O: 0.0000 0.0000 0.5000 (multiplicity 3)  6 Ac 2.85

***

(5)
A plane-wave DFT calculation with GGA-PBE was carried out for crystalline AcIrO at its relaxed geometry.

## Properties
The crystal system is tetragonal.

Unit cell a=3.6326 b=3.6326 c=8.8202 alpha=90.00 beta=90.00 gamma=90.00
With the nearest neighbours (Å) after each atom.
Space group P4/nmm (No. 129, origin choice 2)
One atom of each set of equivalent atoms:
Ac: 0.2500 0.2500 0.1825 (multiplicity 2)  5 O 2.59-2.65
Ir: 0.2500 0.7500 0.5000 (multiplicity 2)  4 Ir 2.57
O: 0.2500 0.2500 0.8895 (multiplicity 2)  5 Ac 2.59-2.65

***

(6)
A plane-wave DFT calculation with GGA-PBE was carried out for crystalline AcIr2O8 at its relaxed geometry.

## Properties
The crystal system is trigonal. Its energy above the most stable polymorph in this dataset is 0.00 kJ per mole of atoms.

Unit cell a=6.5124 b=6.5124 c=6.1074 alpha=90.00 beta=90.00 gamma=120.00
With the nearest neighbours (Å) after each atom.
Space group P-3m1 (No. 164)
One atom of each set of equivalent atoms:
Ac: 0.0000 0.0000 0.0000 (multiplicity 1)  6 O 2.46
Ir: 0.3333 0.6667 0.3297 (multiplicity 2)  4 O 1.76-1.82
O: 0.1846 0.3692 0.2147 (multiplicity 6)  1 Ir 1.82
O: 0.3333 0.6667 0.6176 (multiplicity 2)  1 Ir 1.76

***

(7)
A plane-wave DFT calculation with GGA-PBE was carried out for crystalline Ac2IrO5 at its relaxed geometry.

## Properties
The crystal system is tetragonal.

Unit cell a=5.7828 b=5.7828 c=7.3570 alpha=90.00 beta=90.00 gamma=90.00
With the nearest neighbours (Å) after each atom.
Space group I4mm (No. 107)
One atom of each set of equivalent atoms:
Ac: 0.0000 0.5000 0.0000 (multiplicity 4)  10 O 2.72-2.89
Ir: 0.0000 0.0000 0.2339 (multiplicity 2)  5 O 1.92-1.99
O: 0.0000 0.0000 0.4947 (multiplicity 2)  1 Ir 1.92
O: 0.2437 0.2437 0.2441 (multiplicity 8)  1 Ir 1.99

***

(8)
A plane-wave DFT calculation with GGA-PBE was carried out for crystalline Ac2IrO8 at its relaxed geometry.

## Properties
The crystal system is monoclinic.

Unit cell a=10.4460 b=5.6636 c=6.1778 alpha=90.00 beta=113.44 gamma=90.00
With the nearest neighbours (Å) after each atom.
Space group C2/m (No. 12)
One atom of each set of equivalent atoms:
Ac: 0.2424 0.0000 0.2350 (multiplicity 4)  5 O 2.48-2.52
Ir: 0.0000 0.5000 0.0000 (multiplicity 2)  6 O 1.94-1.98
O: 0.0604 0.0000 0.5038 (multiplicity 4)  1 O 1.24
O: 0.1025 0.2641 0.9067 (multiplicity 8)  1 Ir 1.94
O: 0.1498 0.5000 0.3205 (multiplicity 4)  1 Ir 1.98

***

In order of appearance, raw formation energy = -1.748 -1.625 -1.507 -1.501 -1.775 -1.003 -2.093 -1.706 eV/atom.